[1]
Below is a relaxed structure of K2PmInF8, with properties calculated at the PBE level.

The space group is P2/m (10). As for the crystal system: monoclinic. The calculation puts the total energy at -5.20 eV/atom.

abc: 3.8814 7.7528 6.2741
angles: 90.00 90.23 90.00
Last column: nearest neighbours and their distance in Å.
Sites, in units of the cell vectors:
1 K 0.0000 0.2393 0.0000  8 F 2.66-2.71
2 K 0.0000 0.7607 0.0000  8 F 2.66-2.71
3 Pm 0.5000 0.5000 0.5000  8 F 2.36-2.40
4 In 0.5000 0.0000 0.5000  8 F 2.24-2.31
5 F 0.0006 0.5000 0.7134  2 Pm 2.36
6 F 0.0033 0.0000 0.3039  2 In 2.28-2.31, 1 F 2.46
7 F 0.4978 0.2377 0.7022  1 In 2.24, 1 Pm 2.40
8 F 0.4978 0.7623 0.7022  1 In 2.24, 1 Pm 2.40
9 F 0.5022 0.2377 0.2978  1 In 2.24, 1 Pm 2.40
10 F 0.5022 0.7623 0.2978  1 In 2.24, 1 Pm 2.40
11 F 0.9967 0.0000 0.6961  2 In 2.28-2.31, 1 F 2.46
12 F 0.9994 0.5000 0.2866  2 Pm 2.36


[2]
Below is a relaxed structure of KPuIn2F8, with properties calculated at the PBE level.

The space group is Pmmm (47). As for the crystal system: orthorhombic. The calculation puts the total energy at -5.70 eV/atom.

abc: 4.0876 5.9205 8.2598
angles: 90.00 90.00 90.00
Last column: nearest neighbours and their distance in Å.
Sites, in units of the cell vectors:
1 K 0.0000 0.0000 0.0000  8 F 2.64-2.76
2 Pu 0.0000 0.0000 0.5000  8 F 2.32-2.41
3 In 0.5000 0.5000 0.2309  6 F 2.30-2.56
4 In 0.5000 0.5000 0.7691  6 F 2.30-2.56
5 F 0.0000 0.2486 0.2828  1 Pu 2.32, 2 In 2.56
6 F 0.0000 0.2486 0.7172  1 Pu 2.32, 2 In 2.56
7 F 0.0000 0.7514 0.2828  1 Pu 2.32, 2 In 2.56
8 F 0.0000 0.7514 0.7172  1 Pu 2.32, 2 In 2.56
9 F 0.5000 0.2146 0.5000  2 Pu 2.41, 1 F 2.54
10 F 0.5000 0.2831 0.0000  2 In 2.30, 1 F 2.57
11 F 0.5000 0.7169 0.0000  2 In 2.30, 1 F 2.57
12 F 0.5000 0.7854 0.5000  2 Pu 2.41, 1 F 2.54


[3]
Below is a relaxed structure of K2PuInF8, with properties calculated at the PBE level.

The space group is I-4m2 (119). As for the crystal system: tetragonal. The calculation puts the total energy at -5.82 eV/atom.

abc: 6.8661 6.8661 6.8661
angles: 129.32 129.32 74.50
Last column: nearest neighbours and their distance in Å.
Sites, in units of the cell vectors:
1 K 0.0000 0.0000 0.0000  8 F 2.66
2 K 0.7500 0.2500 0.5000  8 F 2.63
3 Pu 0.2500 0.7500 0.5000  8 F 2.41
4 In 0.5000 0.5000 0.0000  8 F 2.29
5 F 0.1710 0.1396 0.5533  1 In 2.29, 1 Pu 2.41, 1 F 2.44
6 F 0.1710 0.6177 0.0314  1 In 2.29, 1 Pu 2.41, 1 F 2.44
7 F 0.3823 0.4137 0.5533  1 In 2.29, 1 Pu 2.41, 1 F 2.44
8 F 0.3823 0.8290 0.9686  1 In 2.29, 1 Pu 2.41, 1 F 2.44
9 F 0.5863 0.1396 0.9686  1 In 2.29, 1 Pu 2.41, 1 F 2.44
10 F 0.5863 0.6177 0.4467  1 In 2.29, 1 Pu 2.41, 1 F 2.44
11 F 0.8604 0.4137 0.0314  1 In 2.29, 1 Pu 2.41, 1 F 2.44
12 F 0.8604 0.8290 0.4467  1 In 2.29, 1 Pu 2.41, 1 F 2.44


[4]
Below is a relaxed structure of KPuInF6, with properties calculated at the PBE level.

The space group is C2 (5). As for the crystal system: monoclinic. The calculation puts the total energy at -6.22 eV/atom.

abc: 6.6653 6.6653 5.0669
angles: 90.02 90.02 120.12
Last column: nearest neighbours and their distance in Å.
Sites, in units of the cell vectors:
1 K 0.0000 0.0000 0.0000  6 F 2.77-2.78
2 Pu 0.6666 0.3334 0.5000  6 F 2.17
3 In 0.3334 0.6666 0.5000  6 F 2.72-2.73
4 F 0.3880 0.0601 0.7279  1 Pu 2.17
5 F 0.3898 0.3281 0.2697  1 Pu 2.17
6 F 0.6722 0.0616 0.2703  1 Pu 2.17
7 F 0.6719 0.6102 0.7303  1 Pu 2.17
8 F 0.9384 0.3278 0.7297  1 Pu 2.17
9 F 0.9399 0.6120 0.2721  1 Pu 2.17


[5]
Below is a relaxed structure of KPuIn2F6, with properties calculated at the PBE level.

The space group is P1 (1). As for the crystal system: triclinic. The calculation puts the total energy at -5.86 eV/atom.

abc: 6.5956 6.6048 6.8203
angles: 63.38 61.85 60.62
Last column: nearest neighbours and their distance in Å.
Sites, in units of the cell vectors:
1 K 0.0000 0.0000 0.0000  6 F 2.65-2.82
2 Pu 0.4801 0.4975 0.5013  6 F 2.29-2.31
3 In 0.2928 0.2180 0.2766  3 F 2.44-2.48
4 In 0.7953 0.7737 0.7199  3 F 2.44-2.48
5 F 0.1502 0.7653 0.3670  1 Pu 2.31, 1 In 2.44
6 F 0.1698 0.6551 0.8026  1 Pu 2.31, 1 In 2.46
7 F 0.2876 0.2260 0.6329  1 Pu 2.31, 1 In 2.44
8 F 0.6224 0.8127 0.3202  1 Pu 2.29, 1 In 2.48
9 F 0.6255 0.3402 0.1983  1 Pu 2.31, 1 In 2.45
10 F 0.7583 0.1817 0.6791  1 Pu 2.29, 1 In 2.48


[6]
Below is a relaxed structure of K2RbIn3F12, with properties calculated at the PBE level.

The space group is R-3m (166). As for the crystal system: trigonal. The calculation puts the total energy at -4.53 eV/atom.

abc: 7.7457 7.7457 7.7457
angles: 62.87 62.87 62.87
Last column: nearest neighbours and their distance in Å.
Sites, in units of the cell vectors:
1 K 0.1335 0.1335 0.1335  3 F 2.59
2 K 0.8665 0.8665 0.8665  3 F 2.59
3 Rb 0.5000 0.5000 0.5000  12 F 2.93-3.24
4 In 0.0000 0.5000 0.5000  6 F 2.04-2.15
5 In 0.5000 0.0000 0.5000  6 F 2.04-2.15
6 In 0.5000 0.5000 0.0000  6 F 2.04-2.15
7 F 0.0530 0.6355 0.6355  1 In 2.04
8 F 0.2269 0.2269 0.6102  2 In 2.15
9 F 0.2269 0.6102 0.2269  2 In 2.15
10 F 0.3645 0.3645 0.9470  1 In 2.04
11 F 0.3645 0.9470 0.3645  1 In 2.04
12 F 0.3898 0.7731 0.7731  2 In 2.15
13 F 0.6102 0.2269 0.2269  2 In 2.15
14 F 0.6355 0.0530 0.6355  1 In 2.04
15 F 0.6355 0.6355 0.0530  1 In 2.04
16 F 0.7731 0.3898 0.7731  2 In 2.15
17 F 0.7731 0.7731 0.3898  2 In 2.15
18 F 0.9470 0.3645 0.3645  1 In 2.04


[7]
Below is a relaxed structure of K2RbInF6, with properties calculated at the PBE level.

The space group is Fm-3m (225). As for the crystal system: cubic. The calculation puts the total energy at -4.38 eV/atom.

abc: 6.6597 6.6597 6.6597
angles: 60.00 60.00 60.00
Last column: nearest neighbours and their distance in Å.
Sites, in units of the cell vectors:
1 K 0.2500 0.2500 0.2500  12 F 3.34
2 K 0.7500 0.7500 0.7500  12 F 3.34
3 Rb 0.0000 0.0000 0.0000  6 F 2.61
4 In 0.5000 0.5000 0.5000  6 F 2.10
5 F 0.2774 0.2774 0.7226  1 In 2.10
6 F 0.2774 0.7226 0.2774  1 In 2.10
7 F 0.2774 0.7226 0.7226  1 In 2.10
8 F 0.7226 0.2774 0.2774  1 In 2.10
9 F 0.7226 0.2774 0.7226  1 In 2.10
10 F 0.7226 0.7226 0.2774  1 In 2.10


[8]
Below is a relaxed structure of K2RbInF6, with properties calculated at the PBE level.

The space group is P2_1/c (14). As for the crystal system: monoclinic. The calculation puts the total energy at -4.46 eV/atom.

abc: 6.3806 6.7174 11.0261
angles: 90.00 124.15 90.00
Last column: nearest neighbours and their distance in Å.
Sites, in units of the cell vectors:
1 K 0.2223 0.0493 0.2362  5 F 2.66-2.90
2 K 0.2223 0.4507 0.7362  5 F 2.66-2.90
3 K 0.7777 0.5493 0.2638  5 F 2.66-2.90
4 K 0.7777 0.9507 0.7638  5 F 2.66-2.90
5 Rb 0.0000 0.0000 0.5000  6 F 2.70-2.85
6 Rb 0.0000 0.5000 0.0000  6 F 2.70-2.85
7 In 0.5000 0.0000 0.0000  6 F 2.11-2.14
8 In 0.5000 0.5000 0.5000  6 F 2.11-2.14
9 F 0.1843 0.1629 0.9592  1 In 2.11
10 F 0.1843 0.3371 0.4592  1 In 2.11
11 F 0.2597 0.7447 0.9135  1 In 2.14
12 F 0.2597 0.7553 0.4135  1 In 2.14
13 F 0.4083 0.0781 0.7891  1 In 2.12
14 F 0.4083 0.4219 0.2891  1 In 2.12
15 F 0.5917 0.5781 0.7109  1 In 2.12
16 F 0.5917 0.9219 0.2109  1 In 2.12
17 F 0.7403 0.2447 0.5865  1 In 2.14
18 F 0.7403 0.2553 0.0865  1 In 2.14
19 F 0.8157 0.6629 0.5408  1 In 2.11
20 F 0.8157 0.8371 0.0408  1 In 2.11